No. 1
LiNbCuSe2S: relaxed, GGA-PBE.

Cell and atoms, written as POSCAR:
```
LiNbCuSe2S
1.0
1.773 -6.438 0.000
1.773 6.438 0.000
0.000 0.000 9.584
Cu Li Nb S Se
2 2 2 2 4
Direct
0.526 0.474 0.250
0.474 0.526 0.750
0.252 0.748 0.250
0.748 0.252 0.750
0.000 0.000 0.000
0.000 0.000 0.500
0.914 0.086 0.250
0.086 0.914 0.750
0.646 0.354 0.061
0.646 0.354 0.439
0.354 0.646 0.561
0.354 0.646 0.939
```

Properties
electronic total energy: -0.1904 hartree per atom


No. 2
LiNbCuSb: relaxed, GGA-PBE.

Cell and atoms, written as POSCAR:
```
LiNbCuSb
1.0
0.000 3.205 3.205
3.205 0.000 3.205
3.205 3.205 0.000
Cu Li Nb Sb
1 1 1 1
Direct
0.250 0.250 0.250
0.750 0.750 0.750
0.500 0.500 0.500
0.000 0.000 0.000
```

Properties
distance to the lowest polymorph of the same formula: 0.302 eV/f.u.


No. 3
LiNbCuSb: relaxed, GGA-PBE.

Cell and atoms, written as POSCAR:
```
LiNbCuSb
1.0
0.000 3.229 3.229
3.229 0.000 3.229
3.229 3.229 0.000
Cu Li Nb Sb
1 1 1 1
Direct
0.750 0.750 0.750
0.500 0.500 0.500
0.250 0.250 0.250
0.000 0.000 0.000
```

Properties
distance to the lowest polymorph of the same formula: 0.000 eV/f.u.


No. 4
LiNbCuTeSe2: relaxed, GGA-PBE.

Cell and atoms, written as POSCAR:
```
LiNbCuTeSe2
1.0
-6.948 -0.662 0.039
6.312 -2.271 1.929
-0.492 5.652 8.265
Cu Li Nb Se Te
2 2 2 4 2
Direct
0.530 0.470 0.250
0.470 0.530 0.750
0.198 0.802 0.250
0.802 0.198 0.750
0.000 0.000 0.000
0.000 0.000 0.500
0.637 0.363 0.061
0.637 0.363 0.439
0.363 0.637 0.561
0.363 0.637 0.939
0.890 0.110 0.250
0.110 0.890 0.750
```

Properties
electronic total energy: -0.1800 hartree per atom


No. 5
LiNbCuTe2Se: relaxed, GGA-PBE.

Cell and atoms, written as POSCAR:
```
LiNbCuTe2Se
1.0
-3.413 -0.010 -6.400
0.914 -2.697 6.671
-6.688 6.532 3.557
Cu Li Nb Se Te
2 2 2 2 4
Direct
0.475 0.525 0.250
0.525 0.475 0.750
0.738 0.262 0.250
0.262 0.738 0.750
0.000 0.000 0.000
0.000 0.000 0.500
0.085 0.915 0.250
0.915 0.085 0.750
0.352 0.648 0.060
0.352 0.648 0.440
0.648 0.352 0.560
0.648 0.352 0.940
```

Properties
electronic total energy: -0.1726 hartree per atom


No. 6
LiNbCuSi: relaxed, GGA-PBE.

Cell and atoms, written as POSCAR:
```
LiNbCuSi
1.0
3.454 1.208 2.144
-0.302 1.021 4.106
1.667 -2.553 2.948
Cu Li Nb Si
1 1 1 1
Direct
0.750 0.750 0.750
0.500 0.500 0.500
0.250 0.250 0.250
0.000 0.000 0.000
```

Properties
distance to the lowest polymorph of the same formula: 0.000 eV/f.u.


No. 7
LiNbCuSi: relaxed, GGA-PBE.

Cell and atoms, written as POSCAR:
```
LiNbCuSi
1.0
-0.771 -4.041 0.975
-3.872 -1.606 -0.550
-0.703 -2.819 -3.071
Cu Li Nb Si
1 1 1 1
Direct
0.750 0.750 0.750
0.250 0.250 0.250
0.500 0.500 0.500
0.000 0.000 0.000
```

Properties
distance to the lowest polymorph of the same formula: 0.809 eV/f.u.


No. 8
LiNbTlCu: relaxed, GGA-PBE.

Cell and atoms, written as POSCAR:
```
LiNbTlCu
1.0
0.000 3.177 3.177
3.177 0.000 3.177
3.177 3.177 0.000
Cu Li Nb Tl
1 1 1 1
Direct
0.750 0.750 0.750
0.250 0.250 0.250
0.500 0.500 0.500
0.000 0.000 0.000
```

Properties
distance to the lowest polymorph of the same formula: 0.000 eV/f.u.


No. 9
LiNbTlCu: relaxed, GGA-PBE.

Cell and atoms, written as POSCAR:
```
LiNbTlCu
1.0
0.000 3.253 3.253
3.253 0.000 3.253
3.253 3.253 0.000
Cu Li Nb Tl
1 1 1 1
Direct
0.750 0.750 0.750
0.500 0.500 0.500
0.250 0.250 0.250
0.000 0.000 0.000
```

Properties
distance to the lowest polymorph of the same formula: 0.600 eV/f.u.


No. 10
LiNbZnCu: relaxed, GGA-PBE.

Cell and atoms, written as POSCAR:
```
LiNbZnCu
1.0
-0.735 -3.876 -1.651
-2.887 -0.484 -3.118
1.281 -0.907 -3.979
Cu Li Nb Zn
1 1 1 1
Direct
0.750 0.750 0.750
0.250 0.250 0.250
0.500 0.500 0.500
0.000 0.000 0.000
```

Properties
distance to the lowest polymorph of the same formula: 0.000 eV/f.u.


No. 11
LiNbZnCu: relaxed, GGA-PBE.

Cell and atoms, written as POSCAR:
```
LiNbZnCu
1.0
0.000 3.030 3.030
3.030 0.000 3.030
3.030 3.030 0.000
Cu Li Nb Zn
1 1 1 1
Direct
0.750 0.750 0.750
0.500 0.500 0.500
0.250 0.250 0.250
0.000 0.000 0.000
```

Properties
distance to the lowest polymorph of the same formula: 0.376 eV/f.u.


No. 12
Li2Nd2Cu15: relaxed, GGA-PBE.

Cell and atoms, written as POSCAR:
```
Li2Nd2Cu15
1.0
4.302 2.484 4.204
-4.302 2.484 4.204
0.000 -4.968 4.204
Cu Li Nd
15 2 2
Direct
0.500 0.000 0.000
0.701 0.299 0.000
0.000 0.500 0.000
0.299 0.701 0.000
0.657 0.657 0.157
0.701 0.000 0.299
0.000 0.701 0.299
0.843 0.343 0.343
0.343 0.843 0.343
0.000 0.000 0.500
0.657 0.157 0.657
0.157 0.657 0.657
0.299 0.000 0.701
0.000 0.299 0.701
0.343 0.343 0.843
0.093 0.093 0.093
0.907 0.907 0.907
0.345 0.345 0.345
0.655 0.655 0.655
```

Properties
electronic total energy: -0.1382 hartree per atom


No. 13
LiNdCu: relaxed, GGA-PBE.

Cell and atoms, written as POSCAR:
```
LiNdCu
1.0
0.834 -3.662 -2.745
1.886 -3.861 1.782
-2.564 -3.858 0.427
Cu Li Nd
1 1 1
Direct
0.000 0.000 0.000
0.250 0.250 0.250
0.750 0.750 0.750
```

Properties
electronic total energy: -0.1236 hartree per atom


No. 14
LiNdCu4: relaxed, GGA-PBE.

Cell and atoms, written as POSCAR:
```
LiNdCu4
1.0
-4.444 -2.015 1.581
-4.391 2.527 -0.801
-3.382 -1.760 -3.430
Cu Li Nd
4 1 1
Direct
0.627 0.627 0.119
0.627 0.119 0.627
0.119 0.627 0.627
0.627 0.627 0.627
0.000 0.000 0.000
0.250 0.250 0.250
```

Properties
electronic total energy: -0.1380 hartree per atom


No. 15
Li2NdCuP2: relaxed, GGA-PBE.

Cell and atoms, written as POSCAR:
```
Li2NdCuP2
1.0
-3.843 -0.726 -1.280
1.283 -1.497 3.612
-2.044 5.516 3.012
Cu Li Nd P
1 2 1 2
Direct
0.000 0.000 0.500
0.667 0.333 0.359
0.333 0.667 0.641
0.000 0.000 0.000
0.333 0.667 0.265
0.667 0.333 0.735
```

Properties
electronic total energy: -0.1694 hartree per atom


No. 16
LiNdCu3Se4: relaxed, GGA-PBE.

Cell and atoms, written as POSCAR:
```
LiNdCu3Se4
1.0
5.960 0.000 0.000
0.000 5.960 0.000
0.000 0.000 5.960
Cu Li Nd Se
3 1 1 4
Direct
0.500 0.500 0.000
0.500 0.000 0.500
0.000 0.500 0.500
0.000 0.000 0.000
0.500 0.500 0.500
0.238 0.238 0.238
0.762 0.762 0.238
0.762 0.238 0.762
0.238 0.762 0.762
```

Properties
electronic total energy: -0.1507 hartree per atom


No. 17
LiCuNiP2: relaxed, GGA-PBE.

Cell and atoms, written as POSCAR:
```
LiCuNiP2
1.0
-1.903 1.903 4.658
1.903 -1.903 4.658
1.903 1.903 -4.658
Cu Li Ni P
1 1 1 2
Direct
0.000 0.000 0.000
0.250 0.750 0.500
0.500 0.500 0.000
0.635 0.135 0.500
0.865 0.365 0.500
```

Properties
electronic total energy: -0.1780 hartree per atom


No. 18
LiCuNiPb: relaxed, GGA-PBE.

Cell and atoms, written as POSCAR:
```
LiCuNiPb
1.0
0.000 3.107 3.107
3.107 0.000 3.107
3.107 3.107 0.000
Cu Li Ni Pb
1 1 1 1
Direct
0.750 0.750 0.750
0.500 0.500 0.500
0.250 0.250 0.250
0.000 0.000 0.000
```

Properties
distance to the lowest polymorph of the same formula: 0.183 eV/f.u.


No. 19
Li4CuNiPb2: relaxed, GGA-PBE.

Cell and atoms, written as POSCAR:
```
Li4CuNiPb2
1.0
4.470 0.000 0.000
0.000 4.470 0.000
0.000 0.000 6.330
Cu Li Ni Pb
1 4 1 2
Direct
0.000 0.000 0.000
0.500 0.500 0.000
0.500 0.000 0.252
0.000 0.000 0.500
0.000 0.500 0.748
0.500 0.500 0.500
0.000 0.500 0.260
0.500 0.000 0.740
```

Properties
electronic total energy: -0.1190 hartree per atom


No. 20
LiCuNiPb: relaxed, GGA-PBE.

Cell and atoms, written as POSCAR:
```
LiCuNiPb
1.0
0.000 3.080 3.080
3.080 0.000 3.080
3.080 3.080 0.000
Cu Li Ni Pb
1 1 1 1
Direct
0.500 0.500 0.500
0.250 0.250 0.250
0.750 0.750 0.750
0.000 0.000 0.000
```

Properties
distance to the lowest polymorph of the same formula: 0.000 eV/f.u.


No. 21
Li2CuSi2NiPt2: relaxed, GGA-PBE.

Cell and atoms, written as POSCAR:
```
Li2CuSi2NiPt2
1.0
-4.050 0.346 -0.638
-0.726 -1.913 3.570
0.006 5.116 2.743
Cu Li Ni Pt Si
1 2 1 2 2
Direct
0.000 0.000 0.000
0.500 0.000 0.251
0.000 0.500 0.749
0.500 0.500 0.500
0.500 0.500 0.000
0.000 0.000 0.500
0.000 0.500 0.259
0.500 0.000 0.741
```

Properties
electronic total energy: -0.1868 hartree per atom


No. 22
LiCuNiTe2S: relaxed, GGA-PBE.

Cell and atoms, written as POSCAR:
```
LiCuNiTe2S
1.0
1.852 -6.384 0.000
1.852 6.384 0.000
0.000 0.000 9.763
Cu Li Ni S Te
2 2 2 2 4
Direct
0.038 0.962 0.250
0.962 0.038 0.750
0.778 0.222 0.250
0.222 0.778 0.750
0.500 0.500 0.000
0.500 0.500 0.500
0.438 0.562 0.250
0.562 0.438 0.750
0.144 0.856 0.028
0.144 0.856 0.472
0.856 0.144 0.528
0.856 0.144 0.972
```

Properties
electronic total energy: -0.1417 hartree per atom


No. 23
LiCuNiTeSe2: relaxed, GGA-PBE.

Cell and atoms, written as POSCAR:
```
LiCuNiTeSe2
1.0
1.762 -6.469 0.000
1.762 6.469 0.000
0.000 0.000 9.885
Cu Li Ni Se Te
2 2 2 4 2
Direct
0.455 0.545 0.250
0.545 0.455 0.750
0.792 0.208 0.250
0.208 0.792 0.750
0.000 0.000 0.000
0.000 0.000 0.500
0.370 0.630 0.038
0.370 0.630 0.462
0.630 0.370 0.538
0.630 0.370 0.962
0.101 0.899 0.250
0.899 0.101 0.750
```

Properties
electronic total energy: -0.1420 hartree per atom


No. 24
Li4CuSi2Ni: relaxed, GGA-PBE.

Cell and atoms, written as POSCAR:
```
Li4CuSi2Ni
1.0
4.047 0.000 0.000
0.000 4.047 0.000
0.000 0.000 5.731
Cu Li Ni Si
1 4 1 2
Direct
0.000 0.000 0.000
0.500 0.500 0.000
0.000 0.500 0.252
0.000 0.000 0.500
0.500 0.000 0.748
0.500 0.500 0.500
0.500 0.000 0.264
0.000 0.500 0.736
```

Properties
electronic total energy: -0.1394 hartree per atom


No. 25
Li4CuSiNi2: relaxed, GGA-PBE.

Cell and atoms, written as POSCAR:
```
Li4CuSiNi2
1.0
4.061 0.000 0.000
0.000 4.061 0.000
0.000 0.000 5.653
Cu Li Ni Si
1 4 2 1
Direct
0.000 0.000 0.000
0.500 0.500 0.000
0.500 0.000 0.244
0.000 0.000 0.500
0.000 0.500 0.756
0.000 0.500 0.277
0.500 0.000 0.723
0.500 0.500 0.500
```

Properties
electronic total energy: -0.1354 hartree per atom


No. 26
LiCu4Si2Ni: relaxed, GGA-PBE.

Cell and atoms, written as POSCAR:
```
LiCu4Si2Ni
1.0
3.999 0.000 0.000
0.000 3.999 0.000
0.000 0.000 5.699
Cu Li Ni Si
4 1 1 2
Direct
0.500 0.000 0.244
0.000 0.500 0.244
0.500 0.000 0.756
0.000 0.500 0.756
0.500 0.500 0.000
0.000 0.000 0.500
0.000 0.000 0.000
0.500 0.500 0.500
```

Properties
electronic total energy: -0.1577 hartree per atom